Record 1
Below is a geometry-optimized ScH2W structure, with properties calculated at the PBEsol level.

Properties
uncorrected energy: -6.19 eV per atom
Fermi-level density of states: 0.274 states/eV per atom

CIF file:
```
data_ScH2W
_chemical_formula_sum 'Sc4 H8 W4'
_cell_length_a 5.451
_cell_length_b 5.451
_cell_length_c 5.451
_cell_angle_alpha 90.00
_cell_angle_beta 90.00
_cell_angle_gamma 90.00
_symmetry_space_group_name_H-M 'F m -3 m'
_symmetry_Int_Tables_number 225
_symmetry_space_group_name_Hall '-F 4 2 3'
loop_
_atom_site_label
_atom_site_type_symbol
_atom_site_fract_x
_atom_site_fract_y
_atom_site_fract_z
Sc1 Sc 0.000 0.000 0.000
H1 H 0.250 0.250 0.250
W1 W 0.000 0.000 0.500
```



Record 2
Below is a geometry-optimized MnOF structure, with properties calculated at the PBEsol level.

Properties
Fermi-level density of states: 0.249 states/eV per atom
ΔE_f (raw): -5.8 eV per formula unit

CIF file:
```
data_MnOF
_chemical_formula_sum 'Mn16 O16 F16'
_cell_length_a 12.282
_cell_length_b 6.451
_cell_length_c 6.439
_cell_angle_alpha 90.00
_cell_angle_beta 90.00
_cell_angle_gamma 90.00
_symmetry_space_group_name_H-M 'A m a 2'
_symmetry_Int_Tables_number 40
loop_
_symmetry_equiv_pos_as_xyz
'x,y,z'
'-x,-y,z'
'-x+1/2,y,z'
'x+1/2,-y,z'
'x,y+1/2,z+1/2'
'-x,-y+1/2,z+1/2'
'-x+1/2,y+1/2,z+1/2'
'x+1/2,-y+1/2,z+1/2'
loop_
_atom_site_label
_atom_site_type_symbol
_atom_site_fract_x
_atom_site_fract_y
_atom_site_fract_z
Mn1 Mn 0.000 0.000 0.000
Mn2 Mn 0.125 0.030 0.530
Mn3 Mn 0.250 0.494 0.562
O1 O 0.000 0.000 0.708
O2 O 0.125 0.323 0.530
O3 O 0.250 0.019 0.350
F1 F 0.000 0.000 0.307
F2 F 0.133 0.221 0.038
F3 F 0.250 0.021 0.756
```



Record 3
Below is a geometry-optimized BiRuNCl2 structure, with properties calculated at the PBEsol level.

Properties
Fermi-level density of states: 0.870 states/eV per atom
ΔE_f (raw): 5.0 eV per formula unit

CIF file:
```
data_BiRuNCl2
_chemical_formula_sum 'Bi1 Ru1 N1 Cl2'
_cell_length_a 4.425
_cell_length_b 4.425
_cell_length_c 5.695
_cell_angle_alpha 90.00
_cell_angle_beta 90.00
_cell_angle_gamma 90.00
_symmetry_space_group_name_H-M 'P 4/m m m'
_symmetry_Int_Tables_number 123
_symmetry_space_group_name_Hall '-P 4 2'
loop_
_atom_site_label
_atom_site_type_symbol
_atom_site_fract_x
_atom_site_fract_y
_atom_site_fract_z
Bi1 Bi 0.000 0.000 0.000
Ru1 Ru 0.000 0.000 0.500
N1 N 0.500 0.500 0.000
Cl1 Cl 0.000 0.500 0.500
```



Copy entry 2 word for word.
Below is a geometry-optimized MnOF structure, with properties calculated at the PBEsol level.

Properties
Fermi-level density of states: 0.249 states/eV per atom
ΔE_f (raw): -5.8 eV per formula unit

CIF file:
```
data_MnOF
_chemical_formula_sum 'Mn16 O16 F16'
_cell_length_a 12.282
_cell_length_b 6.451
_cell_length_c 6.439
_cell_angle_alpha 90.00
_cell_angle_beta 90.00
_cell_angle_gamma 90.00
_symmetry_space_group_name_H-M 'A m a 2'
_symmetry_Int_Tables_number 40
loop_
_symmetry_equiv_pos_as_xyz
'x,y,z'
'-x,-y,z'
'-x+1/2,y,z'
'x+1/2,-y,z'
'x,y+1/2,z+1/2'
'-x,-y+1/2,z+1/2'
'-x+1/2,y+1/2,z+1/2'
'x+1/2,-y+1/2,z+1/2'
loop_
_atom_site_label
_atom_site_type_symbol
_atom_site_fract_x
_atom_site_fract_y
_atom_site_fract_z
Mn1 Mn 0.000 0.000 0.000
Mn2 Mn 0.125 0.030 0.530
Mn3 Mn 0.250 0.494 0.562
O1 O 0.000 0.000 0.708
O2 O 0.125 0.323 0.530
O3 O 0.250 0.019 0.350
F1 F 0.000 0.000 0.307
F2 F 0.133 0.221 0.038
F3 F 0.250 0.021 0.756
```